NaWF5 (PBE with a Hubbard U, relaxed); space-group type = No. 15; total magnetization = 0.2857 μB per atom; DFT total energy = -0.393 Ry/atom
1.0
4.6761 -3.4165 0.0000
4.6761 3.4165 0.0000
-3.4921 0.0000 7.2722
Na W F
2 2 10
direct
0.0228 0.9772 0.7500
0.9772 0.0228 0.2500
0.5000 0.5000 0.0000
0.5000 0.5000 0.5000
0.1966 0.7677 0.0337
0.2323 0.8034 0.4663
0.2418 0.2916 0.3778
0.2916 0.2418 0.8778
0.4118 0.5882 0.7500
0.5882 0.4118 0.2500
0.7084 0.7582 0.1222
0.7582 0.7084 0.6222
0.7677 0.1966 0.5337
0.8034 0.2323 0.9663